Entry from Alexandria: a geometry-optimized LaZrMo2 structure (GGA-PBEsol).

Summary:
Energy above the most stable polymorph in this dataset ... 0.000 eV per atom
Energy relative to the elements ... 0.3518 eV/atom
Size of the total moment ... 0.0 μB/f.u.

a b c (Å): 3.090 4.231 6.490
angles (deg): 90.00 102.89 90.00
Fractional coordinates of all 4 atoms:
La  0.000  0.000  0.000
Zr  0.364  0.500  0.676
Mo  0.545  0.500  0.284
Mo  0.913  0.000  0.453